1.
Compound: PaIr2O8
Source: the Alexandria database
Functional: PBE
Structure: relaxed

Cell: 6.8017 5.9039 5.9039 Å, 120.00 90.00 90.00°
Positions (direct):
O 0.8218 0.3479 0.1739
O 0.8218 0.8261 0.1740
O 0.1782 0.6521 0.8260
O 0.1782 0.1739 0.8260
Ir 0.6861 0.6667 0.3333
O 0.4311 0.6667 0.3333
Ir 0.3139 0.3333 0.6667
O 0.5689 0.3333 0.6667
Pa 0.0000 0.0000 0.0000
O 0.8218 0.8260 0.6521
O 0.1782 0.1740 0.3479

Calculated values
Mass density, g/cm³: 6.01
Total energy, eV per atom: -7.32
Raw formation energy, eV/atom: -1.235

=====

2.
Compound: PaIrO5
Source: the Alexandria database
Functional: PBE
Structure: relaxed

Cell: 5.6405 5.6405 7.2638 Å, 106.41 106.41 97.89°
Positions (direct):
Pa 0.0720 0.4280 0.7500
Pa 0.9280 0.5720 0.2500
O 0.8176 0.2816 0.9491
Ir 0.5000 0.5000 0.5000
Ir 0.0000 0.0000 0.0000
O 0.1925 0.3075 0.2500
O 0.8075 0.6925 0.7500
O 0.1929 0.1232 0.8582
O 0.3768 0.3071 0.6418
O 0.8071 0.8768 0.1418
O 0.2184 0.6824 0.5509
O 0.1824 0.7184 0.0509
O 0.7816 0.3176 0.4491
O 0.6232 0.6929 0.3582

Calculated values
Mass density, g/cm³: 8.09
Total energy, eV per atom: -8.00
Raw formation energy, eV/atom: -1.836

=====

3.
Compound: PaIrO6
Source: the Alexandria database
Functional: PBE
Structure: relaxed

Cell: 5.7085 5.7085 7.5335 Å, 94.21 94.21 64.21°
Positions (direct):
O 0.5666 0.1745 0.1936
O 0.8191 0.8979 0.4970
Ir 0.0000 0.5000 0.5000
Pa 0.9599 0.0401 0.7500
O 0.1021 0.1809 0.0030
O 0.8255 0.4334 0.3064
O 0.5690 0.2094 0.8361
O 0.4310 0.7906 0.1639
Ir 0.5000 0.0000 0.0000
Pa 0.0401 0.9599 0.2500
O 0.2094 0.5690 0.3361
O 0.1745 0.5666 0.6936
O 0.1809 0.1021 0.5030
O 0.7906 0.4310 0.6639
O 0.8979 0.8191 0.9970
O 0.4334 0.8255 0.8064

Calculated values
Mass density, g/cm³: 7.83
Total energy, eV per atom: -7.58
Raw formation energy, eV/atom: -1.566

=====

4.
Compound: Pa2IrO
Source: the Alexandria database
Functional: PBE
Structure: relaxed

Cell: 3.6386 3.6386 6.9213 Å, 74.76 74.76 60.00°
Positions (direct):
Pa 0.7382 0.7382 0.7854
Ir 0.5000 0.5000 0.5000
Pa 0.2618 0.2618 0.2146
O 0.0000 0.0000 0.0000

Calculated values
Mass density, g/cm³: 14.72
Total energy, eV per atom: -9.66
Distance to the lowest polymorph of the same formula, meV/atom: 0
Raw formation energy, eV/atom: -1.462

=====

5.
Compound: Pa2IrO
Source: the Alexandria database
Functional: PBE
Structure: relaxed

Cell: 3.0950 3.0950 7.2132 Å, 90.00 90.00 90.00°
Positions (direct):
Ir 0.5000 0.5000 0.0000
Pa 0.0000 0.0000 0.7234
Pa 0.0000 0.0000 0.2766
O 0.5000 0.5000 0.5000

Calculated values
Mass density, g/cm³: 16.11
Total energy, eV per atom: -9.39
Distance to the lowest polymorph of the same formula, meV/atom: 278
Raw formation energy, eV/atom: -1.184

=====

6.
Compound: PaIrPd2O8
Source: the Alexandria database
Functional: PBE
Structure: relaxed

Cell: 5.9139 5.9139 5.9139 Å, 111.78 111.78 104.94°
Positions (direct):
Pd 0.5000 0.5000 0.0000
O 0.5448 0.7169 0.8278
O 0.9742 0.6748 0.7006
Pa 0.2500 0.7500 0.5000
Ir 0.0000 0.0000 0.0000
O 0.2831 0.4552 0.1722
Pd 0.7500 0.2500 0.5000
O 0.3252 0.0258 0.2994
O 0.8891 0.7169 0.1722
O 0.7263 0.0258 0.7006
O 0.9742 0.2737 0.2994
O 0.2831 0.1109 0.8278

Calculated values
Mass density, g/cm³: 8.01
Total energy, eV per atom: -6.64
Raw formation energy, eV/atom: -0.940

=====

7.
Compound: PaIrPdO6
Source: the Alexandria database
Functional: PBE
Structure: relaxed

Cell: 5.3511 5.3511 9.1304 Å, 90.00 90.00 120.00°
Positions (direct):
O 0.3483 0.3271 0.3725
O 0.3483 0.0212 0.1275
Pa 0.6667 0.3333 0.7500
O 0.3271 0.3483 0.8725
O 0.9788 0.3271 0.1275
Ir 0.6667 0.3333 0.2500
Pd 0.0000 0.0000 0.0000
O 0.9788 0.6517 0.3725
O 0.6729 0.6517 0.1275
O 0.0212 0.6729 0.8725
O 0.3271 0.9788 0.6275
Ir 0.3333 0.6667 0.7500
O 0.6517 0.9788 0.8725
O 0.6729 0.0212 0.3725
O 0.6517 0.6729 0.6275
Pd 0.0000 0.0000 0.5000
O 0.0212 0.3483 0.6275
Pa 0.3333 0.6667 0.2500

Calculated values
Mass density, g/cm³: 9.18
Total energy, eV per atom: -7.55
Raw formation energy, eV/atom: -1.629

=====

8.
Compound: Pm2PaIrO8
Source: the Alexandria database
Functional: PBE
Structure: relaxed

Cell: 5.1312 5.1391 6.9039 Å, 89.99 89.98 91.37°
Positions (direct):
O 0.2671 0.2661 0.0016
Ir 0.0000 0.0000 0.0000
Pm 0.5017 0.5016 0.2424
Pm 0.4983 0.4984 0.7576
O 0.8241 0.1790 0.7658
O 0.2982 0.2966 0.4991
O 0.7329 0.7339 0.9984
O 0.8220 0.1768 0.2343
Pa 0.0000 0.0000 0.5000
O 0.7018 0.7034 0.5009
O 0.1780 0.8232 0.7657
O 0.1759 0.8210 0.2342

Calculated values
Mass density, g/cm³: 7.68
Total energy, eV per atom: -8.23
Raw formation energy, eV/atom: -2.602

=====

9.
Compound: Rb2PaIr3O12
Source: the Alexandria database
Functional: PBE
Structure: relaxed

Cell: 7.5937 7.5937 7.5937 Å, 57.25 57.25 57.25°
Positions (direct):
O 0.0801 0.6913 0.6913
Pa 0.0000 0.0000 0.0000
O 0.0764 0.0764 0.6533
O 0.9236 0.9236 0.3467
O 0.3087 0.3087 0.9199
O 0.6913 0.6913 0.0801
O 0.3467 0.9236 0.9236
Rb 0.6181 0.6181 0.6181
Ir 0.0000 0.0000 0.5000
O 0.6533 0.0764 0.0764
O 0.6913 0.0801 0.6913
O 0.9199 0.3087 0.3087
O 0.0764 0.6533 0.0764
Rb 0.3819 0.3819 0.3819
Ir 0.5000 0.0000 0.0000
O 0.9236 0.3467 0.9236
O 0.3087 0.9199 0.3087
Ir 0.0000 0.5000 0.0000

Calculated values
Mass density, g/cm³: 6.70
Total energy, eV per atom: -6.85
Raw formation energy, eV/atom: -1.434

=====

10.
Compound: RbPaIr2O8
Source: the Alexandria database
Functional: PBE
Structure: relaxed

Cell: 5.8223 5.8223 8.2059 Å, 90.00 90.00 120.00°
Positions (direct):
O 0.3333 0.6667 0.9845
Ir 0.6667 0.3333 0.2298
O 0.8669 0.6610 0.3407
Rb 0.0000 0.0000 0.0000
O 0.3390 0.2059 0.3407
Ir 0.3333 0.6667 0.7702
O 0.1331 0.3390 0.6593
O 0.6610 0.7941 0.6593
Pa 0.0000 0.0000 0.5000
O 0.6667 0.3333 0.0155
O 0.7941 0.1331 0.3407
O 0.2059 0.8669 0.6593

Calculated values
Mass density, g/cm³: 5.71
Total energy, eV per atom: -7.03
Raw formation energy, eV/atom: -1.373

=====

11.
Compound: ScPaIrO6
Source: the Alexandria database
Functional: PBE
Structure: relaxed

Cell: 5.3281 5.3281 9.4325 Å, 90.00 90.00 120.00°
Positions (direct):
O 0.6547 0.9748 0.8717
O 0.0252 0.3453 0.6283
O 0.3453 0.3200 0.3717
Ir 0.3333 0.6667 0.7500
Pa 0.3333 0.6667 0.2500
O 0.6800 0.6547 0.1283
O 0.3200 0.9748 0.6283
O 0.3453 0.0252 0.1283
O 0.6800 0.0252 0.3717
Sc 0.0000 0.0000 0.5000
O 0.6547 0.6800 0.6283
O 0.3200 0.3453 0.8717
Sc 0.0000 0.0000 0.0000
O 0.0252 0.6800 0.8717
O 0.9748 0.6547 0.3717
Pa 0.6667 0.3333 0.7500
Ir 0.6667 0.3333 0.2500
O 0.9748 0.3200 0.1283

Calculated values
Mass density, g/cm³: 8.08
Total energy, eV per atom: -8.56
Raw formation energy, eV/atom: -2.511

=====

12.
Compound: SrPaIr2O8
Source: the Alexandria database
Functional: PBE
Structure: relaxed

Cell: 5.6869 5.6869 6.8536 Å, 90.00 90.00 120.00°
Positions (direct):
O 0.6667 0.3333 0.3282
O 0.3333 0.6667 0.6718
Ir 0.3333 0.6667 0.9420
O 0.6193 0.6956 0.1354
Ir 0.6667 0.3333 0.0580
O 0.6956 0.0763 0.8646
O 0.9237 0.6193 0.8646
Pa 0.0000 0.0000 0.0000
O 0.3807 0.3044 0.8646
O 0.3044 0.9237 0.1354
O 0.0763 0.3807 0.1354
Sr 0.0000 0.0000 0.5000

Calculated values
Mass density, g/cm³: 7.19
Total energy, eV per atom: -6.97
Raw formation energy, eV/atom: -1.260

=====

Question: Which of these has the highest total energy?
Answer: PaIrPd2O8

=====

Question: Which of these has the lowest mass density?
Answer: RbPaIr2O8

=====

Question: Which value of raw formation energy does entry 3 give?
Answer: -1.566 eV/atom

=====

Question: Which value of mass density does entry 4 give?
Answer: 14.72 g/cm³